# Ba4Na2W2O11, relaxed, DFT PBE with a Hubbard U
data_Ba4Na2W2O11
_chemical_formula_sum 'Ba4 Na2 W2 O11'
_cell_length_a 6.010
_cell_length_b 6.010
_cell_length_c 8.688
_cell_angle_alpha 90.00
_cell_angle_beta 90.00
_cell_angle_gamma 90.78
_space_group_name_H-M_alt 'P 1'
_space_group_IT_number 1
loop_
_space_group_symop_operation_xyz
'x,y,z'
loop_
_atom_site_label
_atom_site_type_symbol
_atom_site_fract_x
_atom_site_fract_y
_atom_site_fract_z
Ba1 Ba 0.020 0.476 0.279
Ba2 Ba 0.020 0.476 0.721
Ba3 Ba 0.524 0.980 0.279
Ba4 Ba 0.524 0.980 0.721
Na1 Na 0.516 0.484 0.500
Na2 Na 0.979 0.021 0.000
W1 W 0.501 0.499 0.000
W2 W 0.021 0.979 0.500
O1 O 0.247 0.753 0.500
O2 O 0.790 0.210 0.500
O3 O 0.785 0.754 0.500
O4 O 0.246 0.215 0.500
O5 O 0.022 0.978 0.271
O6 O 0.022 0.978 0.729
O7 O 0.490 0.510 0.777
O8 O 0.490 0.510 0.223
O9 O 0.717 0.283 0.000
O10 O 0.600 0.799 0.000
O11 O 0.201 0.400 0.000
# - Crystal system: orthorhombic

=====

# Ba2Na3WO6, relaxed, DFT PBE with a Hubbard U
data_Ba2Na3WO6
_chemical_formula_sum 'Ba2 Na3 W1 O6'
_cell_length_a 6.496
_cell_length_b 6.496
_cell_length_c 5.900
_cell_angle_alpha 99.17
_cell_angle_beta 99.17
_cell_angle_gamma 121.93
_space_group_name_H-M_alt 'P 1'
_space_group_IT_number 1
loop_
_space_group_symop_operation_xyz
'x,y,z'
loop_
_atom_site_label
_atom_site_type_symbol
_atom_site_fract_x
_atom_site_fract_y
_atom_site_fract_z
Ba1 Ba 0.328 0.672 0.000
Ba2 Ba 0.672 0.328 0.000
Na1 Na 0.130 0.870 0.500
Na2 Na 0.870 0.130 0.500
Na3 Na 0.500 0.500 0.500
W1 W 0.000 0.000 0.000
O1 O 0.929 0.670 0.778
O2 O 0.798 0.798 0.197
O3 O 0.071 0.330 0.222
O4 O 0.670 0.929 0.778
O5 O 0.202 0.202 0.803
O6 O 0.330 0.071 0.222
# - Crystal system: monoclinic

=====

# Ba2Na2WO6, relaxed, DFT PBE with a Hubbard U
data_Ba2Na2WO6
_chemical_formula_sum 'Ba2 Na2 W1 O6'
_cell_length_a 6.417
_cell_length_b 6.417
_cell_length_c 5.939
_cell_angle_alpha 95.90
_cell_angle_beta 95.90
_cell_angle_gamma 118.90
_space_group_name_H-M_alt 'P 1'
_space_group_IT_number 1
loop_
_space_group_symop_operation_xyz
'x,y,z'
loop_
_atom_site_label
_atom_site_type_symbol
_atom_site_fract_x
_atom_site_fract_y
_atom_site_fract_z
Ba1 Ba 0.338 0.662 0.500
Ba2 Ba 0.662 0.338 0.500
Na1 Na 0.877 0.123 0.000
Na2 Na 0.123 0.877 0.000
W1 W 0.000 0.000 0.500
O1 O 0.796 0.796 0.704
O2 O 0.032 0.291 0.688
O3 O 0.204 0.204 0.296
O4 O 0.291 0.032 0.688
O5 O 0.968 0.709 0.312
O6 O 0.709 0.968 0.312
# - Crystal system: monoclinic

=====

Number 1: DOS at the Fermi energy 0.000 states/eV per atom, total DFT energy (no corrections) -0.4867 Ry per atom, total moment 0.0 μB/f.u.. Number 2: DOS at the Fermi energy 0.000 states/eV per atom, total DFT energy (no corrections) -0.4250 Ry per atom, total moment 1.0 μB/f.u.. Number 3: DOS at the Fermi energy 0.000 states/eV per atom, total DFT energy (no corrections) -0.4522 Ry per atom, total moment 0.0 μB/f.u..